This record from Alexandria via LeMat-Bulk describes a geometry-optimized CoRhN2O structure. The functional is PBE with a Hubbard U.

Cell: 3.7417 3.7417 4.2970 Å, 90.00 90.00 90.00°
Fractional coordinates of all 5 atoms:
N 0.0000 0.5000 0.0000
N 0.5000 0.0000 0.0000
Co 0.5000 0.5000 0.5000
Rh 0.0000 0.0000 0.0000
O 0.0000 0.0000 0.5000

Results
SG   No. 123
DFT total energy   -5.66 eV/atom